[1]
Density functional theory data (PBEsol) for a relaxed Mg2Pb3 crystal.

The structure in CIF format:
```
data_Mg2Pb3
_cell_length_a 5.0549
_cell_length_b 5.0549
_cell_length_c 6.2852
_cell_angle_alpha 90.00
_cell_angle_beta 90.00
_cell_angle_gamma 120.00
_space_group_name_H-M_alt 'P 1'
_space_group_IT_number 1
_space_group_name_Hall 'P 1'
loop_
_atom_site_label
_atom_site_fract_x
_atom_site_fract_y
_atom_site_fract_z
Mg1 0.3333 0.6667 0.3467
Mg2 0.6667 0.3333 0.6533
Pb1 0.0000 0.0000 0.5000
Pb2 0.3333 0.6667 0.8556
Pb3 0.6667 0.3333 0.1444
```

Output
crystal system = trigonal
ΔE to the lowest computed polymorph = 0.0065 eV per atom

[2]
Density functional theory data (PBEsol) for a relaxed Mg24Pb5 crystal.

The structure in CIF format:
```
data_Mg24Pb5
_cell_length_a 9.6506
_cell_length_b 9.6506
_cell_length_c 9.6506
_cell_angle_alpha 109.47
_cell_angle_beta 109.47
_cell_angle_gamma 109.47
_space_group_name_H-M_alt 'P 1'
_space_group_IT_number 1
_space_group_name_Hall 'P 1'
loop_
_atom_site_label
_atom_site_fract_x
_atom_site_fract_y
_atom_site_fract_z
Mg1 0.0000 0.3188 0.5876
Mg2 0.0000 0.5876 0.3188
Mg3 0.0000 0.6224 0.8106
Mg4 0.0000 0.8106 0.6224
Mg5 0.1882 0.3776 0.3776
Mg6 0.1894 0.1894 0.8118
Mg7 0.1894 0.8118 0.1894
Mg8 0.2688 0.6812 0.6812
Mg9 0.3188 0.0000 0.5876
Mg10 0.3188 0.5876 0.0000
Mg11 0.3776 0.1882 0.3776
Mg12 0.3776 0.3776 0.1882
Mg13 0.4124 0.4124 0.7312
Mg14 0.4124 0.7312 0.4124
Mg15 0.5876 0.0000 0.3188
Mg16 0.5876 0.3188 0.0000
Mg17 0.6224 0.0000 0.8106
Mg18 0.6224 0.8106 0.0000
Mg19 0.6812 0.2688 0.6812
Mg20 0.6812 0.6812 0.2688
Mg21 0.7312 0.4124 0.4124
Mg22 0.8106 0.0000 0.6224
Mg23 0.8106 0.6224 0.0000
Mg24 0.8118 0.1894 0.1894
Pb1 0.0000 0.0000 0.0000
Pb2 0.0000 0.0000 0.3670
Pb3 0.0000 0.3670 0.0000
Pb4 0.3670 0.0000 0.0000
Pb5 0.6330 0.6330 0.6330
```

Output
crystal system = cubic

[3]
Density functional theory data (PBEsol) for a relaxed Mg3Pb4 crystal.

The structure in CIF format:
```
data_Mg3Pb4
_cell_length_a 15.2604
_cell_length_b 15.2604
_cell_length_c 15.2604
_cell_angle_alpha 166.83
_cell_angle_beta 166.83
_cell_angle_gamma 18.66
_space_group_name_H-M_alt 'P 1'
_space_group_IT_number 1
_space_group_name_Hall 'P 1'
loop_
_atom_site_label
_atom_site_fract_x
_atom_site_fract_y
_atom_site_fract_z
Mg1 0.0000 0.0000 0.0000
Mg2 0.2822 0.2822 0.0000
Mg3 0.7178 0.7178 0.0000
Pb1 0.1510 0.1510 0.0000
Pb2 0.4328 0.4328 0.0000
Pb3 0.5672 0.5672 0.0000
Pb4 0.8490 0.8490 0.0000
```

Output
crystal system = tetragonal
ΔE to the lowest computed polymorph = 0.0000 eV per atom

[4]
Density functional theory data (PBEsol) for a relaxed MgPb crystal.

The structure in CIF format:
```
data_MgPb
_cell_length_a 3.4139
_cell_length_b 3.4139
_cell_length_c 5.1587
_cell_angle_alpha 90.00
_cell_angle_beta 90.00
_cell_angle_gamma 120.00
_space_group_name_H-M_alt 'P 1'
_space_group_IT_number 1
_space_group_name_Hall 'P 1'
loop_
_atom_site_label
_atom_site_fract_x
_atom_site_fract_y
_atom_site_fract_z
Mg1 0.0000 0.0000 0.0000
Pb1 0.3333 0.6667 0.5000
```

Output
crystal system = hexagonal

In eV for the cell shown, the E values for the records above are, in order, -15.6; -60.7; -21.4; -5.8.